KCeVF6: optimized geometry, PBE with a Hubbard U.

**Uncorrected energy**: -6.0879 eV/atom
**ρ**: 3.0 Mg/m³

Unit cell a=8.0247 b=8.4811 c=11.2443 alpha=90.00 beta=90.00 gamma=90.00
Space group Imma (No. 74)
Asymmetric unit:
K 0.0000 0.2500 0.0116 [4 per cell]
Ce 0.0000 0.0000 0.5000 [4 per cell]
V 0.2500 0.2500 0.7500 [4 per cell]
F 0.0000 0.2500 0.4126 [4 per cell]
F 0.0000 0.2500 0.7854 [4 per cell]
F 0.2261 0.0806 0.6116 [16 per cell]